A plane-wave DFT calculation with PBE-GGA was carried out for Tc2Au after structural relaxation.

Cell lengths 5.1723, 5.1723, 8.4161 Å; angles 90.00, 90.00, 120.00 degrees
Space group P6_3/mmc (No. 194)
Symmetry-distinct sites (fractional):
Tc (0.0000, 0.0000, 0.0000) [2 per cell]
Tc (0.1751, 0.3502, 0.2500) [6 per cell]
Au (0.3333, 0.6667, 0.5745) [4 per cell]

## Properties
- distance to the lowest polymorph of the same formula (eV/atom) = 0.309
- calculated formation energy (eV per formula unit) = 1.3
- spin magnetization (μB per formula unit) = 0.00



A plane-wave DFT calculation with PBE-GGA was carried out for TmPuO6 after structural relaxation.

Cell lengths 5.170, 5.183, 5.299 Å; angles 96.24, 96.27, 117.46 degrees
Space group P-1 (No. 2)
Symmetry-distinct sites (fractional):
Tm (0.000, 0.000, 0.000) [1 per cell]
Pu (0.500, 0.500, 0.500) [1 per cell]
O (0.145, 0.427, 0.270) [2 per cell]
O (0.256, 0.255, 0.725) [2 per cell]
O (0.429, 0.146, 0.270) [2 per cell]

## Properties
- formation energy without anion corrections (eV/atom) = -2.107
- spin magnetization (μB per formula unit) = 0.93



A plane-wave DFT calculation with PBE-GGA was carried out for Mg2HgIrAu after structural relaxation.

Cell lengths 4.929, 4.929, 5.160 Å; angles 90.00, 90.00, 90.00 degrees
Space group P4/mmm (No. 123)
Symmetry-distinct sites (fractional):
Mg (0.000, 0.500, 0.000) [2 per cell]
Hg (0.000, 0.000, 0.500) [1 per cell]
Ir (0.000, 0.000, 0.000) [1 per cell]
Au (0.500, 0.500, 0.500) [1 per cell]

## Properties
- calculated formation energy (eV per formula unit) = 1.3
- spin magnetization (μB per formula unit) = 0.00



A plane-wave DFT calculation with PBE-GGA was carried out for Ba3Rh5 after structural relaxation.

Cell lengths 10.2782, 10.2782, 4.7537 Å; angles 90.00, 90.00, 120.00 degrees
Space group P6_3/mcm (No. 193)
Symmetry-distinct sites (fractional):
Ba (0.0000, 0.3609, 0.2500) [6 per cell]
Rh (0.0000, 0.1441, 0.7500) [6 per cell]
Rh (0.3333, 0.6667, 0.0000) [4 per cell]

## Properties
- distance to the lowest polymorph of the same formula (eV/atom) = 0.000
- calculated formation energy (eV per formula unit) = 1.2
- spin magnetization (μB per formula unit) = 1.09



A plane-wave DFT calculation with PBE-GGA was carried out for LuGaGe2 after structural relaxation.

Cell lengths 4.5794, 4.5794, 20.9561 Å; angles 90.00, 90.00, 120.00 degrees
Space group R-3m (No. 166, hexagonal axes)
Symmetry-distinct sites (fractional):
Lu (0.0000, 0.0000, 0.0000) [3 per cell]
Ga (0.0000, 0.0000, 0.5000) [3 per cell]
Ge (0.0000, 0.0000, 0.3845) [6 per cell]

## Properties
- distance to the lowest polymorph of the same formula (eV/atom) = 0.649
- calculated formation energy (eV per formula unit) = 1.0
- spin magnetization (μB per formula unit) = 0.00



A plane-wave DFT calculation with PBE-GGA was carried out for Rb4TeN2 after structural relaxation.

Cell lengths 9.994, 10.595, 10.595 Å; angles 90.00, 90.00, 90.00 degrees
Space group I2_12_12_1 (No. 24)
Symmetry-distinct sites (fractional):
Rb (0.041, 0.001, 0.422) [8 per cell]
Rb (0.209, 0.328, 0.750) [8 per cell]
Te (0.125, 0.000, 0.750) [4 per cell]
N (0.000, 0.250, 0.250) [4 per cell]
N (0.250, 0.499, 0.500) [4 per cell]

## Properties
- formation energy without anion corrections (eV/atom) = 0.399
- spin magnetization (μB per formula unit) = 4.00



A plane-wave DFT calculation with PBE-GGA was carried out for Rb2LaSbF after structural relaxation.

Cell lengths 7.384, 7.384, 4.426 Å; angles 90.00, 90.00, 90.00 degrees
Space group P4/mmm (No. 123)
Symmetry-distinct sites (fractional):
Rb (0.000, 0.500, 0.000) [2 per cell]
La (0.000, 0.000, 0.500) [1 per cell]
Sb (0.500, 0.500, 0.000) [1 per cell]
F (0.500, 0.500, 0.500) [1 per cell]

## Properties
- formation energy without anion corrections (eV/atom) = -0.082
- spin magnetization (μB per formula unit) = 1.91



A plane-wave DFT calculation with PBE-GGA was carried out for ZrTaOs after structural relaxation.

Cell lengths 4.5624, 4.5624, 19.4809 Å; angles 90.00, 90.00, 120.00 degrees
Space group R-3m (No. 166, hexagonal axes)
Symmetry-distinct sites (fractional):
Zr (0.0000, 0.0000, 0.1323) [6 per cell]
Ta (0.0000, 0.0000, 0.2917) [6 per cell]
Os (0.0000, 0.0000, 0.4232) [6 per cell]

## Properties
- distance to the lowest polymorph of the same formula (eV/atom) = 0.284
- calculated formation energy (eV per formula unit) = -0.4
- spin magnetization (μB per formula unit) = 0.00